No. 1
The following is a DFT calculation (GGA-PBE) of Ac4CePu3S8 after structural relaxation.

Computed properties:
As for the uncorrected formation energy: -1.902 eV per atom. For the total energy, the calculation gives -8.051 eV per atom.

Lattice parameters (Å, degrees): 8.2554 8.2554 20.5345 90.00 90.00 120.00
Space group R-3m (No. 166, hexagonal axes)
Asymmetric unit:
Ac1 0.0000 0.0000 0.0000 (multiplicity 3)
Ac2 0.0000 0.5000 0.0000 (multiplicity 9)
Ce1 0.0000 0.0000 0.5000 (multiplicity 3)
Pu1 0.0000 0.5000 0.5000 (multiplicity 9)
S1 0.0000 0.0000 0.2416 (multiplicity 6)
S2 0.0029 0.5014 0.7576 (multiplicity 18)

=====

No. 2
The following is a DFT calculation (GGA-PBE) of SiBP2Au after structural relaxation.

Computed properties:
As for the uncorrected formation energy: 0.011 eV per atom. For the total energy, the calculation gives -5.228 eV per atom. The value obtained for the excess energy over the best structure of this formula in the dataset is 115 meV/atom.

Lattice parameters (Å, degrees): 3.3434 5.7557 5.9428 65.94 80.48 89.90
Space group P1 (No. 1)
Asymmetric unit:
Si1 0.0000 0.0000 0.0000 (multiplicity 1)
B1 0.4463 0.4795 0.1574 (multiplicity 1)
P1 0.4281 0.7681 0.2438 (multiplicity 1)
P2 0.9653 0.3361 0.1168 (multiplicity 1)
Au1 0.0736 0.1630 0.5575 (multiplicity 1)